Material: LaIrW2
Method: DFT, PBE-GGA
State: optimized geometry

a = 4.9962 Å, b = 2.8711 Å, c = 5.2751 Å
α = 80.22°, β = 90.00°, γ = 90.00°
Positions (direct):
Ir1 0.5000 0.2500 0.2500
La1 0.5000 0.7500 0.7500
W1 0.0000 0.0194 0.0059
W2 0.0000 0.4806 0.4941

Total DFT energy (no corrections) ... -37.38 eV/cell
Polymorph energy (0 for the lowest one) ... 364 meV/atom

=====

Material: AlCrAs4
Method: DFT, PBE-GGA
State: optimized geometry

a = 5.5675 Å, b = 5.5675 Å, c = 5.5675 Å
α = 60.00°, β = 60.00°, γ = 60.00°
Site moments in Bohr magnetons follow the coordinates.
Positions (direct):
Al1 0.0000 0.0000 0.0000  0.00
Cr1 0.2500 0.2500 0.2500  4.01
As1 0.6259 0.6259 0.1224  0.03
As2 0.6259 0.1224 0.6259  0.03
As3 0.6259 0.6259 0.6259  0.03
As4 0.1224 0.6259 0.6259  0.03

Total DFT energy (no corrections) ... -28.66 eV/cell

=====

Material: LiYCd2
Method: DFT, PBE-GGA
State: optimized geometry

a = 3.4456 Å, b = 3.4456 Å, c = 9.6918 Å
α = 79.76°, β = 79.76°, γ = 60.00°
Positions (direct):
Li1 0.6678 0.6678 0.9965
Y1 0.4993 0.4993 0.5021
Cd1 0.0755 0.0755 0.7734
Cd2 0.2574 0.2574 0.2279

Total DFT energy (no corrections) ... -10.61 eV/cell

=====

Material: ScMn7Fe5
Method: DFT, PBE-GGA
State: optimized geometry

a = 4.6411 Å, b = 6.2465 Å, c = 6.2465 Å
α = 81.61°, β = 68.19°, γ = 68.19°
Site moments in Bohr magnetons follow the coordinates.
Positions (direct):
Sc1 0.0017 0.9983 0.9983  -0.16
Mn1 0.6378 0.3622 0.3622  -1.72
Mn2 0.3635 0.6365 0.6365  -1.61
Mn3 0.9992 0.3593 0.6423  -1.85
Mn4 0.9992 0.6423 0.3593  -1.85
Mn5 0.2727 0.2273 0.2273  1.23
Mn6 0.4999 0.7852 0.2151  1.79
Mn7 0.4999 0.2151 0.7852  1.79
Fe1 0.5000 0.9999 0.5000  1.22
Fe2 0.0000 0.9999 0.5000  1.22
Fe3 0.5000 0.5000 0.9999  1.22
Fe4 0.0000 0.5000 0.9999  1.22
Fe5 0.7260 0.7740 0.7740  1.61

Total DFT energy (no corrections) ... -112.96 eV/cell

=====

no.,spin magnetization (μB/atom)
1,0.00
2,0.81
3,0.00
4,0.30